Entry 1:
Computed, not measured: an optimized crystal structure of SrLi2Br at the GGA-PBEsol level of DFT.

Geometry as POSCAR:
```
SrLi2Br
1.0
-1.7622 3.0123 -1.8306
-3.2277 -0.3333 2.5587
4.5755 4.5137 3.0230
Sr Br Li
1 1 2
direct
0.0000 0.9195 0.8391 Sr
0.5000 0.3106 0.6213 Br
0.0000 0.1623 0.3247 Li
0.5000 0.5887 0.1774 Li
```

## Properties
**Size of the total moment**: 0.0 μB/f.u.
**Volume**: 27.67 A^3/atom
**E_form (uncorrected)**: -0.64 eV per atom
**Energy relative to the lowest polymorph listed for this composition**: 0.000 eV/atom

Entry 2:
Computed, not measured: an optimized crystal structure of CaLa2Ru at the GGA-PBEsol level of DFT.

Geometry as POSCAR:
```
CaLa2Ru
1.0
-2.0322 2.1056 -1.6395
1.7216 -3.8667 -4.2395
-3.5658 -2.4355 4.1523
Ru Ca La
1 1 2
direct
0.5000 0.0000 0.0000 Ru
0.5000 0.5000 0.5000 Ca
0.0000 0.5000 0.0000 La
0.0000 0.0000 0.5000 La
```

## Properties
**Size of the total moment**: 0.0 μB/f.u.
**Volume**: 24.97 A^3/atom
**Energy relative to the lowest polymorph listed for this composition**: 0.499 eV/atom

Entry 3:
Computed, not measured: an optimized crystal structure of MgZn2Cd at the GGA-PBEsol level of DFT.

Geometry as POSCAR:
```
MgZn2Cd
1.0
-1.8314 -0.0223 3.4719
-2.1045 -3.4666 -1.1324
3.0725 -2.3896 1.6054
Zn Mg Cd
2 1 1
direct
0.0000 0.0000 0.5000 Zn
0.0000 0.5000 0.0000 Zn
0.5000 0.0000 0.0000 Mg
0.5000 0.5000 0.5000 Cd
```

## Properties
**Size of the total moment**: 0.0 μB/f.u.
**Volume**: 17.40 A^3/atom
**Energy relative to the lowest polymorph listed for this composition**: 0.023 eV/atom

no.,D(E_F) (states/eV/cell)
1,2.29
2,4.34
3,1.17